No. 1
Entry from the Alexandria database: LaCeNd2Dy5 after structural relaxation (PBE).

extended XYZ file:
```
18
Lattice="-1.177 7.676 3.933 -7.929 -2.525 2.555 7.616 -5.497 3.375" Properties=species:S:1:pos:R:3 pbc="T T T"
La 1.532 -1.461 3.309
La -3.021 1.115 6.553
Ce -2.433 -2.723 4.587
Ce 0.943 2.377 5.276
Nd -3.152 -0.035 1.443
Nd -1.684 4.458 2.747
Nd -7.421 0.693 3.740
Nd -5.954 5.186 5.044
Dy -2.448 4.561 5.722
Dy 3.476 0.678 5.441
Dy 0.958 -4.907 4.141
Dy 4.812 -2.922 3.234
Dy -0.377 -1.307 6.348
Dy -6.301 2.576 6.629
Dy -1.113 0.961 3.515
Dy -4.966 -1.024 4.422
Dy -4.553 2.576 3.244
Dy 0.000 0.000 0.000
```

Results
Formation energy, kJ/mol of formula units: 226

---

No. 2
Entry from the Alexandria database: La2CeNd3Dy6 after structural relaxation (PBE).

extended XYZ file:
```
12
Lattice="6.276 -0.002 0.013 -3.138 5.435 0.013 -1.069 -1.851 11.646" Properties=species:S:1:pos:R:3 pbc="T T T"
La 0.002 3.622 0.013
La 3.136 1.811 0.013
Ce 0.000 0.000 0.000
Nd -2.100 3.601 5.836
Nd 4.169 -0.019 5.836
Nd 1.035 1.791 5.836
Dy 3.112 1.798 8.758
Dy 2.095 3.627 2.927
Dy -1.043 1.784 2.913
Dy 0.002 3.594 8.758
Dy -0.026 -0.045 8.744
Dy 2.067 -0.012 2.913
```

Results
Formation energy, kJ/mol of formula units: 38

---

No. 3
Entry from the Alexandria database: La2Ce3DyP6 after structural relaxation (PBE).

extended XYZ file:
```
12
Lattice="7.167 -0.001 0.000 -3.583 6.207 0.000 -1.196 -2.071 6.758" Properties=species:S:1:pos:R:3 pbc="T T T"
La 0.005 4.135 0.000
La 3.579 2.071 0.000
Ce -2.377 4.130 3.379
Ce 4.765 0.005 3.379
Ce 1.194 2.067 3.379
Dy 0.000 0.000 0.000
P 3.554 2.118 5.021
P 2.420 4.190 1.746
P -1.166 2.017 1.737
P 0.058 4.137 5.021
P -0.032 -0.055 5.012
P 2.330 -0.002 1.737
```

Results
Formation energy, kJ/mol of formula units: -1776

---

No. 4
Entry from the Alexandria database: LaCeDy2P4 after structural relaxation (PBE).

extended XYZ file:
```
8
Lattice="4.095 0.000 0.000 0.000 7.077 -0.137 0.000 2.492 6.648" Properties=species:S:1:pos:R:3 pbc="T T T"
La 0.000 4.785 3.256
Ce 2.048 6.031 6.580
Dy 0.000 2.492 6.648
Dy 2.048 1.246 3.324
P 0.000 7.231 4.903
P 4.095 2.338 1.608
P 2.048 5.975 1.495
P 2.048 3.594 5.015
```

Results
Formation energy, kJ/mol of formula units: -1210

---

No. 5
Entry from the Alexandria database: La3Ce2DyP6 after structural relaxation (PBE).

extended XYZ file:
```
12
Lattice="7.204 -0.001 0.001 -3.601 6.240 0.001 -1.201 -2.080 6.819" Properties=species:S:1:pos:R:3 pbc="T T T"
La -2.401 4.159 3.410
La 4.803 -0.001 3.410
La 1.201 2.079 3.410
Ce 0.001 4.159 0.001
Ce 3.602 2.079 0.001
Dy 0.000 0.000 0.000
P 3.601 2.080 5.212
P 2.403 4.161 1.615
P -1.200 2.078 1.609
P 0.002 4.159 5.212
P -0.001 -0.002 5.205
P 2.400 -0.001 1.609
```

Results
Formation energy, kJ/mol of formula units: -1798

---

No. 6
Entry from the Alexandria database: La2CeDyP4 after structural relaxation (PBE).

extended XYZ file:
```
8
Lattice="4.158 0.000 0.000 0.000 7.184 0.125 0.000 -2.512 6.765" Properties=species:S:1:pos:R:3 pbc="T T T"
La 2.079 -1.256 3.382
La 0.000 2.336 3.445
Ce 2.079 3.592 0.062
Dy 0.000 0.000 0.000
P 2.079 1.170 1.626
P 2.079 3.502 5.264
P 0.000 -0.096 5.200
P 0.000 4.768 1.690
```

Results
Formation energy, kJ/mol of formula units: -1204